Below is a relaxed structure of HRh2N, with properties calculated at the GGA-PBEsol level.

Total DFT energy (no corrections) ... -6.90 eV per atom
Density of states at the Fermi level ... 4.1 states/eV per cell

a = 4.388 Å, b = 4.388 Å, c = 5.256 Å
α = 114.67°, β = 114.67°, γ = 90.00°
Fractional positions:
H: 0.750 0.250 0.500
N: 0.250 0.750 0.500
Rh: 0.387 0.875 0.250
Rh: 0.863 0.375 0.250
H: 0.500 0.500 0.000
Rh: 0.625 0.613 0.750
Rh: 0.125 0.137 0.750
N: 0.000 0.000 0.000